Entry 1:
{
  "formula": "LiPrTlHg",
  "functional": "PBE",
  "state": "optimized geometry",
  "energy_ev_per_atom": -2.745,
  "sg": "F-43m",
  "lattice_angstrom": [[0.0000, 3.6981, 3.6981], [3.6981, 0.0000, 3.6981], [3.6981, 3.6981, 0.0000]],
  "species": ["Li", "Pr", "Tl", "Hg"],
  "frac_coords": [[0.0000, 0.0000, 0.0000], [0.5000, 0.5000, 0.5000], [0.2500, 0.2500, 0.2500], [0.7500, 0.7500, 0.7500]]
}

Entry 2:
{
  "formula": "LiHg3PtS4",
  "functional": "PBE",
  "state": "optimized geometry",
  "energy_ev_per_atom": -2.831,
  "sg": "P-43m",
  "lattice_angstrom": [[5.9641, 0.0000, 0.0000], [0.0000, 5.9641, 0.0000], [0.0000, 0.0000, 5.9641]],
  "species": ["Li", "Hg", "Hg", "Hg", "Pt", "S", "S", "S", "S"],
  "frac_coords": [[0.0000, 0.0000, 0.0000], [0.0000, 0.5000, 0.5000], [0.5000, 0.0000, 0.5000], [0.5000, 0.5000, 0.0000], [0.5000, 0.5000, 0.5000], [0.2394, 0.2394, 0.2394], [0.2394, 0.7606, 0.7606], [0.7606, 0.2394, 0.7606], [0.7606, 0.7606, 0.2394]]
}

Entry 3:
{
  "formula": "LiHgSbPt",
  "functional": "PBE",
  "state": "optimized geometry",
  "sg": "F-43m",
  "de_polymorph_mev_per_atom": 0,
  "lattice_angstrom": [[0.0000, 3.3542, 3.3542], [3.3542, 0.0000, 3.3542], [3.3542, 3.3542, 0.0000]],
  "species": ["Li", "Hg", "Sb", "Pt"],
  "frac_coords": [[0.0000, 0.0000, 0.0000], [0.2500, 0.2500, 0.2500], [0.7500, 0.7500, 0.7500], [0.5000, 0.5000, 0.5000]]
}

Entry 4:
{
  "formula": "LiHg3PtSe4",
  "functional": "PBE",
  "state": "optimized geometry",
  "energy_ev_per_atom": -2.615,
  "sg": "P-43m",
  "lattice_angstrom": [[6.2030, 0.0000, 0.0000], [0.0000, 6.2030, 0.0000], [0.0000, 0.0000, 6.2030]],
  "species": ["Li", "Hg", "Hg", "Hg", "Pt", "Se", "Se", "Se", "Se"],
  "frac_coords": [[0.0000, 0.0000, 0.0000], [0.0000, 0.5000, 0.5000], [0.5000, 0.0000, 0.5000], [0.5000, 0.5000, 0.0000], [0.5000, 0.5000, 0.5000], [0.2403, 0.2403, 0.2403], [0.2403, 0.7597, 0.7597], [0.7597, 0.2403, 0.7597], [0.7597, 0.7597, 0.2403]]
}

Entry 5:
{
  "formula": "Li4SnHgPt2",
  "functional": "PBE",
  "state": "optimized geometry",
  "energy_ev_per_atom": -3.553,
  "sg": "P-4m2",
  "lattice_angstrom": [[4.5422, 0.0000, 0.0000], [0.0000, 4.5422, 0.0000], [0.0000, 0.0000, 6.2224]],
  "species": ["Li", "Li", "Li", "Li", "Sn", "Hg", "Pt", "Pt"],
  "frac_coords": [[0.0000, 0.0000, 0.0000], [0.0000, 0.5000, 0.7376], [0.5000, 0.0000, 0.2624], [0.5000, 0.5000, 0.5000], [0.5000, 0.5000, 0.0000], [0.0000, 0.0000, 0.5000], [0.0000, 0.5000, 0.2296], [0.5000, 0.0000, 0.7704]]
}

Entry 6:
{
  "formula": "Li4Sn2HgPt",
  "functional": "PBE",
  "state": "optimized geometry",
  "energy_ev_per_atom": -3.256,
  "sg": "P-4m2",
  "lattice_angstrom": [[4.5625, 0.0000, 0.0000], [0.0000, 4.5625, 0.0000], [0.0000, 0.0000, 6.6982]],
  "species": ["Li", "Li", "Li", "Li", "Sn", "Sn", "Hg", "Pt"],
  "frac_coords": [[0.0000, 0.0000, 0.0000], [0.0000, 0.5000, 0.2315], [0.5000, 0.0000, 0.7685], [0.5000, 0.5000, 0.5000], [0.0000, 0.5000, 0.7746], [0.5000, 0.0000, 0.2254], [0.0000, 0.0000, 0.5000], [0.5000, 0.5000, 0.0000]]
}

Entry 7:
{
  "formula": "LiTaHgPt",
  "functional": "PBE",
  "state": "optimized geometry",
  "sg": "F-43m",
  "de_polymorph_mev_per_atom": 44,
  "lattice_angstrom": [[0.0000, 3.2276, 3.2276], [3.2276, 0.0000, 3.2276], [3.2276, 3.2276, 0.0000]],
  "species": ["Li", "Ta", "Hg", "Pt"],
  "frac_coords": [[0.0000, 0.0000, 0.0000], [0.5000, 0.5000, 0.5000], [0.7500, 0.7500, 0.7500], [0.2500, 0.2500, 0.2500]]
}

Entry 8:
{
  "formula": "LiTaHgPt",
  "functional": "PBE",
  "state": "optimized geometry",
  "sg": "F-43m",
  "de_polymorph_mev_per_atom": 382,
  "lattice_angstrom": [[0.0000, 3.1988, 3.1988], [3.1988, 0.0000, 3.1988], [3.1988, 3.1988, 0.0000]],
  "species": ["Li", "Ta", "Hg", "Pt"],
  "frac_coords": [[0.0000, 0.0000, 0.0000], [0.7500, 0.7500, 0.7500], [0.5000, 0.5000, 0.5000], [0.2500, 0.2500, 0.2500]]
}

Entry 9:
{
  "formula": "LiTaHgPt",
  "functional": "PBE",
  "state": "optimized geometry",
  "sg": "F-43m",
  "de_polymorph_mev_per_atom": 0,
  "lattice_angstrom": [[0.0000, 3.1929, 3.1929], [3.1929, 0.0000, 3.1929], [3.1929, 3.1929, 0.0000]],
  "species": ["Li", "Ta", "Hg", "Pt"],
  "frac_coords": [[0.0000, 0.0000, 0.0000], [0.7500, 0.7500, 0.7500], [0.2500, 0.2500, 0.2500], [0.5000, 0.5000, 0.5000]]
}

Entry 10:
{
  "formula": "Li4PuHg5",
  "functional": "PBE",
  "state": "optimized geometry",
  "energy_ev_per_atom": -2.424,
  "sg": "P4/mmm",
  "lattice_angstrom": [[3.3226, 0.0000, 0.0000], [0.0000, 3.3226, 0.0000], [0.0000, 0.0000, 17.6513]],
  "species": ["Li", "Li", "Li", "Li", "Pu", "Hg", "Hg", "Hg", "Hg", "Hg"],
  "frac_coords": [[0.0000, 0.0000, 0.0920], [0.0000, 0.0000, 0.2776], [0.0000, 0.0000, 0.7224], [0.0000, 0.0000, 0.9080], [0.0000, 0.0000, 0.5000], [0.5000, 0.5000, 0.0000], [0.5000, 0.5000, 0.1851], [0.5000, 0.5000, 0.3701], [0.5000, 0.5000, 0.6299], [0.5000, 0.5000, 0.8149]]
}

Entry 11:
{
  "formula": "LiPu4Hg5",
  "functional": "PBE",
  "state": "optimized geometry",
  "energy_ev_per_atom": -6.240,
  "sg": "P4/mmm",
  "lattice_angstrom": [[3.2435, 0.0000, 0.0000], [0.0000, 3.2435, 0.0000], [0.0000, 0.0000, 22.3085]],
  "species": ["Li", "Pu", "Pu", "Pu", "Pu", "Hg", "Hg", "Hg", "Hg", "Hg"],
  "frac_coords": [[0.0000, 0.0000, 0.0000], [0.0000, 0.0000, 0.1811], [0.0000, 0.0000, 0.3937], [0.0000, 0.0000, 0.6063], [0.0000, 0.0000, 0.8189], [0.5000, 0.5000, 0.0753], [0.5000, 0.5000, 0.2874], [0.5000, 0.5000, 0.5000], [0.5000, 0.5000, 0.7126], [0.5000, 0.5000, 0.9247]]
}

Entry 12:
{
  "formula": "RbLiHg",
  "functional": "PBE",
  "state": "optimized geometry",
  "sg": "F-43m",
  "de_polymorph_mev_per_atom": 0,
  "lattice_angstrom": [[0.0000, 3.9799, 3.9799], [3.9799, 0.0000, 3.9799], [3.9799, 3.9799, 0.0000]],
  "species": ["Rb", "Li", "Hg"],
  "frac_coords": [[0.0000, 0.0000, 0.0000], [0.5000, 0.5000, 0.5000], [0.7500, 0.7500, 0.7500]]
}

Entry 13:
{
  "formula": "RbLiHg",
  "functional": "PBE",
  "state": "optimized geometry",
  "sg": "F-43m",
  "de_polymorph_mev_per_atom": 27,
  "lattice_angstrom": [[0.0000, 3.8533, 3.8533], [3.8533, 0.0000, 3.8533], [3.8533, 3.8533, 0.0000]],
  "species": ["Rb", "Li", "Hg"],
  "frac_coords": [[0.0000, 0.0000, 0.0000], [0.7500, 0.7500, 0.7500], [0.5000, 0.5000, 0.5000]]
}

Entry 14:
{
  "formula": "LiReHg2",
  "functional": "PBE",
  "state": "optimized geometry",
  "energy_ev_per_atom": -2.879,
  "sg": "F-43m",
  "lattice_angstrom": [[0.0000, 3.3143, 3.3143], [3.3143, 0.0000, 3.3143], [3.3143, 3.3143, 0.0000]],
  "species": ["Li", "Re", "Hg", "Hg"],
  "frac_coords": [[0.0000, 0.0000, 0.0000], [0.2500, 0.2500, 0.2500], [0.5000, 0.5000, 0.5000], [0.7500, 0.7500, 0.7500]]
}

Entry 15:
{
  "formula": "LiRe2Hg",
  "functional": "PBE",
  "state": "optimized geometry",
  "energy_ev_per_atom": -6.266,
  "sg": "F-43m",
  "lattice_angstrom": [[0.0000, 3.1310, 3.1310], [3.1310, 0.0000, 3.1310], [3.1310, 3.1310, 0.0000]],
  "species": ["Li", "Re", "Re", "Hg"],
  "frac_coords": [[0.0000, 0.0000, 0.0000], [0.5000, 0.5000, 0.5000], [0.7500, 0.7500, 0.7500], [0.2500, 0.2500, 0.2500]]
}

Entry 16:
{
  "formula": "LiScHgS3",
  "functional": "PBE",
  "state": "optimized geometry",
  "energy_ev_per_atom": -4.560,
  "sg": "Cmcm",
  "lattice_angstrom": [[1.9431, -7.0611, 0.0000], [1.9431, 7.0611, 0.0000], [0.0000, 0.0000, 10.0062]],
  "species": ["Li", "Li", "Sc", "Sc", "Hg", "Hg", "S", "S", "S", "S", "S", "S"],
  "frac_coords": [[0.1359, 0.8641, 0.7500], [0.8641, 0.1359, 0.2500], [0.5000, 0.5000, 0.0000], [0.5000, 0.5000, 0.5000], [0.1354, 0.8646, 0.2500], [0.8646, 0.1354, 0.7500], [0.1272, 0.8728, 0.0139], [0.1272, 0.8728, 0.4861], [0.4616, 0.5384, 0.2500], [0.5384, 0.4616, 0.7500], [0.8728, 0.1272, 0.5139], [0.8728, 0.1272, 0.9861]]
}

Entry 17:
{
  "formula": "Li2SnHgS4",
  "functional": "PBE",
  "state": "optimized geometry",
  "energy_ev_per_atom": -3.812,
  "sg": "Pmn2_1",
  "lattice_angstrom": [[8.0433, 0.0000, 0.0000], [0.0000, 6.9710, 0.0000], [0.0000, 0.0000, 6.5875]],
  "species": ["Li", "Li", "Li", "Li", "Sn", "Sn", "Hg", "Hg", "S", "S", "S", "S", "S", "S", "S", "S"],
  "frac_coords": [[0.2485, 0.1690, 0.0000], [0.2515, 0.8310, 0.5000], [0.7485, 0.8310, 0.5000], [0.7515, 0.1690, 0.0000], [0.0000, 0.6701, 0.0004], [0.5000, 0.3299, 0.5004], [0.0000, 0.3430, 0.5000], [0.5000, 0.6570, 0.0000], [0.0000, 0.3382, 0.8930], [0.0000, 0.6909, 0.3677], [0.2400, 0.8407, 0.8701], [0.2600, 0.1593, 0.3701], [0.5000, 0.3091, 0.8677], [0.5000, 0.6618, 0.3930], [0.7400, 0.1593, 0.3701], [0.7600, 0.8407, 0.8701]]
}

Entry 18:
{
  "formula": "LiTmHgS3",
  "functional": "PBE",
  "state": "optimized geometry",
  "sg": "Cmcm",
  "de_polymorph_mev_per_atom": 0,
  "lattice_angstrom": [[2.0223, -7.1249, 0.0000], [2.0223, 7.1249, 0.0000], [0.0000, 0.0000, 10.3455]],
  "species": ["Li", "Li", "Tm", "Tm", "Hg", "Hg", "S", "S", "S", "S", "S", "S"],
  "frac_coords": [[0.1342, 0.8658, 0.7500], [0.8658, 0.1342, 0.2500], [0.5000, 0.5000, 0.0000], [0.5000, 0.5000, 0.5000], [0.1300, 0.8700, 0.2500], [0.8700, 0.1300, 0.7500], [0.1304, 0.8696, 0.0210], [0.1304, 0.8696, 0.4790], [0.4535, 0.5465, 0.2500], [0.5465, 0.4535, 0.7500], [0.8696, 0.1304, 0.5210], [0.8696, 0.1304, 0.9790]]
}

Entry 19:
{
  "formula": "LiTmHgS3",
  "functional": "PBE",
  "state": "optimized geometry",
  "sg": "Pnma",
  "de_polymorph_mev_per_atom": 15,
  "lattice_angstrom": [[12.3091, 0.0000, 0.0000], [0.0000, 3.8500, 0.0000], [0.0000, 0.0000, 11.1434]],
  "species": ["Li", "Li", "Li", "Li", "Tm", "Tm", "Tm", "Tm", "Hg", "Hg", "Hg", "Hg", "S", "S", "S", "S", "S", "S", "S", "S", "S", "S", "S", "S"],
  "frac_coords": [[0.1133, 0.2500, 0.0168], [0.3867, 0.7500, 0.5168], [0.6133, 0.2500, 0.4832], [0.8867, 0.7500, 0.9832], [0.0584, 0.2500, 0.6728], [0.4416, 0.7500, 0.1728], [0.5584, 0.2500, 0.8272], [0.9416, 0.7500, 0.3272], [0.2284, 0.2500, 0.2906], [0.2716, 0.7500, 0.7906], [0.7284, 0.2500, 0.2094], [0.7716, 0.7500, 0.7094], [0.0670, 0.7500, 0.8525], [0.0684, 0.2500, 0.4194], [0.2313, 0.7500, 0.1293], [0.2687, 0.2500, 0.6293], [0.4316, 0.7500, 0.9194], [0.4330, 0.2500, 0.3525], [0.5670, 0.7500, 0.6475], [0.5684, 0.2500, 0.0806], [0.7313, 0.7500, 0.3707], [0.7687, 0.2500, 0.8707], [0.9316, 0.7500, 0.5806], [0.9330, 0.2500, 0.1475]]
}

Entry 20:
{
  "formula": "LiHg3Sb",
  "functional": "PBE",
  "state": "optimized geometry",
  "energy_ev_per_atom": -1.295,
  "sg": "I4/mcm",
  "lattice_angstrom": [[-3.7499, 3.7499, 5.7150], [3.7499, -3.7499, 5.7150], [3.7499, 3.7499, -5.7150]],
  "species": ["Li", "Li", "Hg", "Hg", "Hg", "Hg", "Hg", "Hg", "Sb", "Sb"],
  "frac_coords": [[0.2500, 0.7500, 0.5000], [0.7500, 0.2500, 0.5000], [0.1350, 0.6350, 0.7699], [0.2500, 0.2500, 0.0000], [0.3650, 0.1350, 0.5000], [0.6350, 0.8650, 0.5000], [0.7500, 0.7500, 0.0000], [0.8650, 0.3650, 0.2301], [0.0000, 0.0000, 0.0000], [0.5000, 0.5000, 0.0000]]
}

Entry 21:
{
  "formula": "Li6HgSb",
  "functional": "PBE",
  "state": "optimized geometry",
  "energy_ev_per_atom": -2.407,
  "sg": "P4/mmm",
  "lattice_angstrom": [[4.4470, 0.0000, 0.0000], [0.0000, 4.4470, 0.0000], [0.0000, 0.0000, 6.5595]],
  "species": ["Li", "Li", "Li", "Li", "Li", "Li", "Hg", "Sb"],
  "frac_coords": [[0.0000, 0.0000, 0.0000], [0.0000, 0.5000, 0.2499], [0.0000, 0.5000, 0.7501], [0.5000, 0.0000, 0.2499], [0.5000, 0.0000, 0.7501], [0.5000, 0.5000, 0.5000], [0.0000, 0.0000, 0.5000], [0.5000, 0.5000, 0.0000]]
}

Entry 22:
{
  "formula": "LiScHg2",
  "functional": "PBE",
  "state": "optimized geometry",
  "sg": "I4/mmm",
  "de_polymorph_mev_per_atom": 0,
  "lattice_angstrom": [[-2.4105, 2.4105, 3.4319], [2.4105, -2.4105, 3.4319], [2.4105, 2.4105, -3.4319]],
  "species": ["Li", "Sc", "Hg", "Hg"],
  "frac_coords": [[0.0000, 0.0000, 0.0000], [0.5000, 0.5000, 0.0000], [0.2500, 0.7500, 0.5000], [0.7500, 0.2500, 0.5000]]
}

Entry 23:
{
  "formula": "LiSc2Hg",
  "functional": "PBE",
  "state": "optimized geometry",
  "energy_ev_per_atom": -3.773,
  "sg": "F-43m",
  "lattice_angstrom": [[0.0000, 3.4343, 3.4343], [3.4343, 0.0000, 3.4343], [3.4343, 3.4343, 0.0000]],
  "species": ["Li", "Sc", "Sc", "Hg"],
  "frac_coords": [[0.0000, 0.0000, 0.0000], [0.5000, 0.5000, 0.5000], [0.7500, 0.7500, 0.7500], [0.2500, 0.2500, 0.2500]]
}

Entry 24:
{
  "formula": "LiScHg2",
  "functional": "PBE",
  "state": "optimized geometry",
  "sg": "F-43m",
  "de_polymorph_mev_per_atom": 111,
  "lattice_angstrom": [[0.0000, 3.3859, 3.3859], [3.3859, 0.0000, 3.3859], [3.3859, 3.3859, 0.0000]],
  "species": ["Li", "Sc", "Hg", "Hg"],
  "frac_coords": [[0.0000, 0.0000, 0.0000], [0.2500, 0.2500, 0.2500], [0.5000, 0.5000, 0.5000], [0.7500, 0.7500, 0.7500]]
}